No. 1
CsZnCu | PBE-GGA | optimized geometry

```
CsZnCu
1.0
1.4182 0.8607 5.1105
-3.5117 2.1822 3.4315
-2.1365 -2.9887 3.9207
Cs Cu Zn
1 1 1
Direct
0.2500 0.2500 0.2500 Cs
0.0000 0.0000 0.0000 Cu
0.7500 0.7500 0.7500 Zn
```

Summary:
The total energy is -4.31 eV per cell.

=====

No. 2
CsDy | PBE-GGA | optimized geometry

```
CsDy
1.0
1.3850 0.9186 6.1691
-3.9151 -2.2461 4.5218
1.8144 -4.9308 3.6353
Cs Dy
1 1
Direct
0.0000 0.0000 0.0000 Cs
0.2500 0.2500 0.2500 Dy
```

Summary:
For the total magnetization, the calculation gives 2.0 μB per formula unit. The energy relative to the lowest polymorph listed for this composition comes out at 0.4460 eV/atom.

=====

No. 3
CsDy | PBE-GGA | optimized geometry

```
CsDy
1.0
0.2591 -0.1000 5.3980
-1.6327 4.2835 2.8639
-4.5410 -0.2722 2.9191
Cs Dy
1 1
Direct
0.0000 0.0000 0.0000 Cs
0.5000 0.5000 0.5000 Dy
```

Summary:
For the total magnetization, the calculation gives 0.0 μB per formula unit. The energy relative to the lowest polymorph listed for this composition comes out at 0.0000 eV/atom.

=====

No. 4
CsDyEr | PBE-GGA | optimized geometry

```
CsDyEr
1.0
-4.5031 -0.5557 3.9837
-4.1972 4.3188 0.4337
-5.6242 -1.0515 -1.9285
Cs Er Dy
1 1 1
Direct
0.2500 0.2500 0.2500 Cs
0.0000 0.0000 0.0000 Er
0.7500 0.7500 0.7500 Dy
```

Summary:
For the total magnetization, the calculation gives 3.2 μB per formula unit. The energy relative to the lowest polymorph listed for this composition comes out at 0.0000 eV/atom.

=====

No. 5
CsDyEr | PBE-GGA | optimized geometry

```
CsDyEr
1.0
2.7624 1.5949 4.5109
-2.7624 1.5949 4.5109
0.0000 -3.1897 4.5109
Dy Er Cs
1 1 1
Direct
0.7500 0.7500 0.7500 Dy
0.2500 0.2500 0.2500 Er
0.0000 0.0000 0.0000 Cs
```

Summary:
For the total magnetization, the calculation gives 0.0 μB per formula unit. The energy relative to the lowest polymorph listed for this composition comes out at 0.0159 eV/atom.

=====

No. 6
Cs2DyErS4 | PBE-GGA | optimized geometry

```
Cs2DyErS4
1.0
4.0797 0.0000 0.0000
-2.0398 3.5331 0.0000
0.0000 0.0000 16.0453
S Cs Er Dy
4 2 1 1
Direct
0.6667 0.3333 0.4083 S
0.3333 0.6667 0.5917 S
0.3333 0.6667 0.9099 S
0.6667 0.3333 0.0901 S
0.3333 0.6667 0.2499 Cs
0.6667 0.3333 0.7501 Cs
0.0000 0.0000 0.0000 Er
0.0000 0.0000 0.5000 Dy
```

Summary:
The total energy is -42.05 eV per cell. For the total magnetization, the calculation gives 0.0 μB per formula unit.

=====

No. 7
Cs2DyErTe4 | PBE-GGA | optimized geometry

```
Cs2DyErTe4
1.0
4.5343 0.0000 0.0000
-2.2672 3.9268 0.0000
0.0000 0.0000 17.7969
Te Dy Cs Er
4 1 2 1
Direct
0.6667 0.3333 0.9060 Te
0.6667 0.3333 0.5955 Te
0.3333 0.6667 0.4045 Te
0.3333 0.6667 0.0940 Te
0.0000 0.0000 0.5000 Dy
0.6667 0.3333 0.2494 Cs
0.3333 0.6667 0.7506 Cs
0.0000 0.0000 0.0000 Er
```

Summary:
The total energy is -34.47 eV per cell. For the total magnetization, the calculation gives 0.0 μB per formula unit.

=====

No. 8
CsDy4F13 | PBE-GGA | optimized geometry

```
CsDy4F13
1.0
-4.3435 4.3435 3.0393
4.3435 -4.3435 3.0393
4.3435 4.3435 -3.0393
F Dy Cs
13 4 1
Direct
0.2593 0.5020 0.0511 F
0.8725 0.4842 0.8932 F
0.5910 0.9793 0.1068 F
0.5158 0.4090 0.3883 F
0.1549 0.4592 0.3959 F
0.7918 0.7407 0.2427 F
0.5408 0.9367 0.6957 F
0.0207 0.1275 0.6117 F
0.4510 0.2082 0.9489 F
0.4980 0.5490 0.7573 F
0.2410 0.8451 0.3043 F
0.0633 0.7590 0.6041 F
0.7500 0.2500 0.5000 F
0.2005 0.5770 0.7625 Dy
0.8146 0.4381 0.2375 Dy
0.5619 0.7995 0.3765 Dy
0.4230 0.1854 0.6235 Dy
0.0000 0.0000 0.0000 Cs
```

Summary:
The total energy is -114.09 eV per cell. For the total magnetization, the calculation gives 0.0 μB per formula unit.

=====

No. 9
CsK2DyF6 | PBE-GGA | optimized geometry

```
CsK2DyF6
1.0
-4.0834 -4.8466 0.2527
0.0183 -4.3367 -4.6543
2.3773 -6.0268 1.3809
K F Cs Dy
2 6 1 1
Direct
0.7437 0.7499 0.7805 K
0.2563 0.2501 0.2195 K
0.1423 0.6736 0.8876 F
0.3212 0.8573 0.1203 F
0.2080 0.1925 0.6428 F
0.7920 0.8075 0.3572 F
0.8577 0.3264 0.1124 F
0.6788 0.1427 0.8797 F
0.5000 0.5000 0.5000 Cs
0.0000 0.0000 0.0000 Dy
```

Summary:
The total energy is -51.76 eV per cell. For the total magnetization, the calculation gives 0.0 μB per formula unit.

=====

No. 10
CsRb2DyF6 | PBE-GGA | optimized geometry

```
CsRb2DyF6
1.0
0.0000 4.7573 4.7573
4.7573 0.0000 4.7573
4.7573 4.7573 0.0000
F Rb Cs Dy
6 2 1 1
Direct
0.2760 0.7240 0.7240 F
0.2760 0.7240 0.2760 F
0.7240 0.7240 0.2760 F
0.2760 0.2760 0.7240 F
0.7240 0.2760 0.2760 F
0.7240 0.2760 0.7240 F
0.2500 0.2500 0.2500 Rb
0.7500 0.7500 0.7500 Rb
0.0000 0.0000 0.0000 Cs
0.5000 0.5000 0.5000 Dy
```

Summary:
For the total magnetization, the calculation gives 0.0 μB per formula unit. The energy relative to the lowest polymorph listed for this composition comes out at 0.0661 eV/atom.

=====

No. 11
CsRb2DyF6 | PBE-GGA | optimized geometry

```
CsRb2DyF6
1.0
-5.6057 -2.6519 1.5497
5.2681 -1.5525 3.2990
0.9133 6.4576 1.4636
Rb F Cs Dy
2 6 1 1
Direct
0.4879 0.7490 0.2326 Rb
0.5121 0.2510 0.7674 Rb
0.9736 0.6836 0.1240 F
0.5569 0.8470 0.8671 F
0.1248 0.1970 0.3409 F
0.8752 0.8030 0.6591 F
0.0264 0.3164 0.8760 F
0.4431 0.1530 0.1329 F
0.0000 0.5000 0.5000 Cs
0.0000 0.0000 0.0000 Dy
```

Summary:
For the total magnetization, the calculation gives 0.0 μB per formula unit. The energy relative to the lowest polymorph listed for this composition comes out at 0.0000 eV/atom.

=====

No. 12
CsDyFe | PBE-GGA | optimized geometry

```
CsDyFe
1.0
2.5306 1.4611 4.1325
-2.5306 1.4611 4.1325
0.0000 -2.9221 4.1325
Dy Cs Fe
1 1 1
Direct
0.7500 0.7500 0.7500 Dy
0.0000 0.0000 0.0000 Cs
0.2500 0.2500 0.2500 Fe
```

Summary:
The total energy is -8.50 eV per cell. For the total magnetization, the calculation gives 2.6 μB per formula unit.

=====

No. 13
Cs2GdDyO4 | PBE-GGA | optimized geometry

```
Cs2GdDyO4
1.0
3.5464 0.0000 0.0000
-1.7732 3.0713 0.0000
0.0000 0.0000 13.5617
Gd O Cs Dy
1 4 2 1
Direct
0.0000 0.0000 0.5000 Gd
0.3333 0.6667 0.4151 O
0.6667 0.3333 0.5849 O
0.3333 0.6667 0.0827 O
0.6667 0.3333 0.9173 O
0.3333 0.6667 0.7502 Cs
0.6667 0.3333 0.2498 Cs
0.0000 0.0000 0.0000 Dy
```

Summary:
The total energy is -51.67 eV per cell. For the total magnetization, the calculation gives 0.0 μB per formula unit.

=====

No. 14
Cs2GdDyS4 | PBE-GGA | optimized geometry

```
Cs2GdDyS4
1.0
-4.0365 0.7584 0.2451
1.3727 -3.1023 -2.3282
-1.1035 -9.9464 12.6024
Dy S Cs Gd
1 4 2 1
Direct
0.0000 0.0000 0.5000 Dy
0.6667 0.3333 0.4093 S
0.3333 0.6667 0.9076 S
0.6667 0.3333 0.0924 S
0.3333 0.6667 0.5907 S
0.6667 0.3333 0.7498 Cs
0.3333 0.6667 0.2502 Cs
0.0000 0.0000 0.0000 Gd
```

Summary:
The total energy is -42.15 eV per cell. For the total magnetization, the calculation gives 0.0 μB per formula unit.

=====

No. 15
Cs2GdDySe4 | PBE-GGA | optimized geometry

```
Cs2GdDySe4
1.0
-3.7553 -0.7566 -1.8913
0.8024 -1.6087 3.8756
-6.3137 13.7765 7.0256
Se Cs Gd Dy
4 2 1 1
Direct
0.3333 0.6667 0.4074 Se
0.6667 0.3333 0.9058 Se
0.3333 0.6667 0.0942 Se
0.6667 0.3333 0.5926 Se
0.6667 0.3333 0.2505 Cs
0.3333 0.6667 0.7495 Cs
0.0000 0.0000 0.0000 Gd
0.0000 0.0000 0.5000 Dy
```

Summary:
The total energy is -38.76 eV per cell. For the total magnetization, the calculation gives 0.0 μB per formula unit.

=====

No. 16
CsDyGe | PBE-GGA | optimized geometry

```
CsDyGe
1.0
1.2997 -5.0866 1.2575
3.0186 -1.0159 4.3588
-2.2096 -2.3606 4.3231
Dy Ge Cs
1 1 1
Direct
0.7500 0.7500 0.7500 Dy
0.0000 0.0000 0.0000 Ge
0.2500 0.2500 0.2500 Cs
```

Summary:
The total energy is -9.14 eV per cell. For the total magnetization, the calculation gives 0.0 μB per formula unit.

=====

No. 17
CsDyHf | PBE-GGA | optimized geometry

```
CsDyHf
1.0
2.6101 1.5070 4.2623
-2.6101 1.5070 4.2623
0.0000 -3.0139 4.2623
Dy Cs Hf
1 1 1
Direct
0.7500 0.7500 0.7500 Dy
0.0000 0.0000 0.0000 Cs
0.2500 0.2500 0.2500 Hf
```

Summary:
For the total magnetization, the calculation gives 0.0 μB per formula unit. The energy relative to the lowest polymorph listed for this composition comes out at 0.1306 eV/atom.

=====

No. 18
CsDyHf | PBE-GGA | optimized geometry

```
CsDyHf
1.0
-3.5308 -2.1897 3.8902
-5.3892 -1.1855 -1.3949
-1.7034 -5.4138 -0.4297
Cs Hf Dy
1 1 1
Direct
0.2500 0.2500 0.2500 Cs
0.0000 0.0000 0.0000 Hf
0.7500 0.7500 0.7500 Dy
```

Summary:
For the total magnetization, the calculation gives 4.2 μB per formula unit. The energy relative to the lowest polymorph listed for this composition comes out at 0.0000 eV/atom.

=====

No. 19
Cs2DyHgI6 | PBE-GGA | optimized geometry

```
Cs2DyHgI6
1.0
-4.4092 4.4092 6.2407
4.4092 -4.4092 6.2407
4.4092 4.4092 -6.2407
Dy I Hg Cs
1 6 1 2
Direct
0.0000 0.0000 0.0000 Dy
0.2429 0.7571 0.0000 I
0.7571 0.2429 0.0000 I
0.7574 0.7574 0.0000 I
0.2426 0.2426 0.0000 I
0.7571 0.7571 0.5142 I
0.2429 0.2429 0.4858 I
0.5000 0.5000 0.0000 Hg
0.2500 0.7500 0.5000 Cs
0.7500 0.2500 0.5000 Cs
```

Summary:
The total energy is -27.62 eV per cell. For the total magnetization, the calculation gives 0.0 μB per formula unit.

=====

No. 20
Cs2DyHoS4 | PBE-GGA | optimized geometry

```
Cs2DyHoS4
1.0
4.0822 0.0000 0.0000
-2.0411 3.5353 0.0000
0.0000 0.0000 16.1052
Ho S Cs Dy
1 4 2 1
Direct
0.0000 0.0000 0.5000 Ho
0.6667 0.3333 0.0911 S
0.6667 0.3333 0.4091 S
0.3333 0.6667 0.9089 S
0.3333 0.6667 0.5909 S
0.3333 0.6667 0.2500 Cs
0.6667 0.3333 0.7500 Cs
0.0000 0.0000 0.0000 Dy
```

Summary:
The total energy is -42.07 eV per cell. For the total magnetization, the calculation gives 0.0 μB per formula unit.